SrCd2Os | GGA-PBE | relaxed

The structure in POSCAR format:
```
SrCd2Os
1.0
3.014 0.000 0.000
0.000 4.382 0.000
-0.033 0.000 6.614
Sr Cd Os
1 2 1
Direct
0.000 0.000 0.000
0.498 0.500 0.707
0.502 0.500 0.293
0.000 0.000 0.500
```

Summary:
Space-group type: No. 10
Electronic total energy: -3.26 eV per atom
Total moment: 0.0000 μB per atom